This record from Alexandria describes a relaxed Sb2RuSe crystal. The functional is PBEsol.

Summary:
- SG = P4/mmm (123)
- total DFT energy (no corrections) (eV/atom) = -5.714
- E_form (uncorrected) (eV/atom) = 0.070
- total magnetic moment (Bohr magnetons per cell) = 0.00
- DOS at the Fermi energy (states/eV/f.u.) = 2.3

a = 3.120 Å, b = 3.120 Å, c = 8.552 Å
α = 90.00°, β = 90.00°, γ = 90.00°
Fractional positions:
Sb 0.000 0.000 0.198
Sb 0.000 0.000 0.802
Ru 0.500 0.500 0.000
Se 0.500 0.500 0.500